1.
{
  "formula": "PrTm12Sc7",
  "functional": "PBE",
  "state": "optimized geometry",
  "cell": [[-5.427, 5.427, 5.427], [5.427, -5.427, 5.427], [5.427, 5.427, -5.427]],
  "species": ["Pr", "Tm", "Tm", "Tm", "Tm", "Tm", "Tm", "Tm", "Tm", "Tm", "Tm", "Tm", "Tm", "Sc", "Sc", "Sc", "Sc", "Sc", "Sc", "Sc"],
  "frac_coords": [[0.000, 0.000, 0.000], [0.001, 0.265, 0.737], [0.263, 0.528, 0.265], [0.263, 0.999, 0.735], [0.265, 0.263, 0.528], [0.265, 0.737, 0.001], [0.472, 0.735, 0.737], [0.528, 0.265, 0.263], [0.735, 0.263, 0.999], [0.735, 0.737, 0.472], [0.737, 0.001, 0.265], [0.737, 0.472, 0.735], [0.999, 0.735, 0.263], [0.000, 0.000, 0.500], [0.000, 0.500, 0.000], [0.000, 0.500, 0.500], [0.500, 0.000, 0.000], [0.500, 0.000, 0.500], [0.500, 0.500, 0.000], [0.500, 0.500, 0.500]],
  "e_form_mev_per_atom": 684
}


2.
{
  "formula": "PrTmSc3",
  "functional": "PBE",
  "state": "optimized geometry",
  "cell": [[5.937, 0.000, 0.000], [0.000, 5.418, 0.000], [-2.902, 0.000, 8.653]],
  "species": ["Pr", "Pr", "Tm", "Tm", "Sc", "Sc", "Sc", "Sc", "Sc", "Sc"],
  "frac_coords": [[0.141, 0.250, 0.105], [0.859, 0.750, 0.895], [0.072, 0.750, 0.315], [0.928, 0.250, 0.685], [0.270, 0.750, 0.698], [0.339, 0.250, 0.506], [0.477, 0.750, 0.105], [0.523, 0.250, 0.895], [0.661, 0.750, 0.494], [0.730, 0.250, 0.302]],
  "e_form_mev_per_atom": 43
}


3.
{
  "formula": "Pr2Tm12Sc5",
  "functional": "PBE",
  "state": "optimized geometry",
  "cell": [[8.372, -5.517, 0.000], [8.372, 5.517, 0.000], [-1.252, 0.000, 6.116]],
  "species": ["Pr", "Pr", "Tm", "Tm", "Tm", "Tm", "Tm", "Tm", "Tm", "Tm", "Tm", "Tm", "Tm", "Tm", "Sc", "Sc", "Sc", "Sc", "Sc"],
  "frac_coords": [[0.210, 0.790, 0.000], [0.790, 0.210, 0.000], [0.087, 0.513, 0.814], [0.138, 0.651, 0.411], [0.160, 0.160, 0.939], [0.349, 0.862, 0.589], [0.441, 0.441, 0.726], [0.487, 0.913, 0.186], [0.513, 0.087, 0.814], [0.559, 0.559, 0.274], [0.651, 0.138, 0.411], [0.840, 0.840, 0.061], [0.862, 0.349, 0.589], [0.913, 0.487, 0.186], [0.000, 0.000, 0.500], [0.222, 0.222, 0.468], [0.356, 0.356, 0.179], [0.644, 0.644, 0.821], [0.778, 0.778, 0.532]],
  "e_form_mev_per_atom": 132
}


4.
{
  "formula": "PrTm5Sc4",
  "functional": "PBE",
  "state": "optimized geometry",
  "cell": [[-4.894, 4.894, 3.066], [4.894, -4.894, 3.066], [4.894, 4.894, -3.066]],
  "species": ["Pr", "Tm", "Tm", "Tm", "Tm", "Tm", "Sc", "Sc", "Sc", "Sc"],
  "frac_coords": [[0.000, 0.000, 0.000], [0.457, 0.457, 0.000], [0.480, 0.871, 0.901], [0.579, 0.480, 0.609], [0.871, 0.970, 0.391], [0.970, 0.579, 0.099], [0.172, 0.870, 0.583], [0.286, 0.588, 0.417], [0.588, 0.172, 0.302], [0.870, 0.286, 0.698]],
  "e_form_mev_per_atom": 339
}


5.
{
  "formula": "Pr7Tm2Sc2",
  "functional": "PBE",
  "state": "optimized geometry",
  "cell": [[5.517, -5.799, 0.000], [5.517, 5.799, 0.000], [-2.211, 0.000, 5.722]],
  "species": ["Pr", "Pr", "Pr", "Pr", "Pr", "Pr", "Pr", "Tm", "Tm", "Sc", "Sc"],
  "frac_coords": [[0.000, 0.000, 0.000], [0.055, 0.580, 0.807], [0.420, 0.945, 0.193], [0.424, 0.424, 0.205], [0.576, 0.576, 0.795], [0.580, 0.055, 0.807], [0.945, 0.420, 0.193], [0.212, 0.212, 0.584], [0.788, 0.788, 0.416], [0.220, 0.780, 0.500], [0.780, 0.220, 0.500]],
  "e_form_mev_per_atom": 145
}


6.
{
  "formula": "Pr3TmSc",
  "functional": "PBE",
  "state": "optimized geometry",
  "cell": [[8.763, 0.000, 0.000], [0.000, 3.597, 0.000], [-2.895, 0.000, 10.264]],
  "species": ["Pr", "Pr", "Pr", "Pr", "Pr", "Pr", "Tm", "Tm", "Sc", "Sc"],
  "frac_coords": [[0.047, 0.250, 0.155], [0.160, 0.750, 0.453], [0.351, 0.750, 0.056], [0.649, 0.250, 0.944], [0.840, 0.250, 0.547], [0.953, 0.750, 0.845], [0.261, 0.250, 0.748], [0.739, 0.750, 0.252], [0.456, 0.250, 0.359], [0.544, 0.750, 0.641]],
  "e_form_mev_per_atom": 50
}


7.
{
  "formula": "Pr4Tm8Sc",
  "functional": "PBE",
  "state": "optimized geometry",
  "cell": [[5.472, 3.159, 4.448], [-5.472, 3.159, 4.448], [0.000, -6.318, 4.448]],
  "species": ["Pr", "Pr", "Pr", "Pr", "Tm", "Tm", "Tm", "Tm", "Tm", "Tm", "Tm", "Tm", "Sc"],
  "frac_coords": [[0.000, 0.000, 0.000], [0.000, 0.500, 0.500], [0.500, 0.000, 0.500], [0.500, 0.500, 0.000], [0.242, 0.242, 0.756], [0.242, 0.756, 0.242], [0.243, 0.243, 0.243], [0.244, 0.758, 0.758], [0.756, 0.242, 0.242], [0.757, 0.757, 0.757], [0.758, 0.244, 0.758], [0.758, 0.758, 0.244], [0.500, 0.500, 0.500]],
  "e_form_mev_per_atom": 546
}


8.
{
  "formula": "PrTm3Sc3",
  "functional": "PBE",
  "state": "optimized geometry",
  "cell": [[4.122, 2.380, 7.084], [-4.122, 2.380, 7.084], [0.000, -4.759, 7.084]],
  "species": ["Pr", "Pr", "Tm", "Tm", "Tm", "Tm", "Tm", "Tm", "Sc", "Sc", "Sc", "Sc", "Sc", "Sc"],
  "frac_coords": [[0.147, 0.147, 0.147], [0.853, 0.853, 0.853], [0.207, 0.439, 0.669], [0.331, 0.793, 0.561], [0.439, 0.669, 0.207], [0.561, 0.331, 0.793], [0.669, 0.207, 0.439], [0.793, 0.561, 0.331], [0.081, 0.236, 0.558], [0.236, 0.558, 0.081], [0.442, 0.919, 0.764], [0.558, 0.081, 0.236], [0.764, 0.442, 0.919], [0.919, 0.764, 0.442]],
  "e_form_mev_per_atom": 265
}


9.
{
  "formula": "PrTm2Sc2",
  "functional": "PBE",
  "state": "optimized geometry",
  "cell": [[0.000, 5.527, 10.702], [2.808, 0.000, 10.702], [2.808, 5.527, 0.000]],
  "species": ["Pr", "Pr", "Tm", "Tm", "Tm", "Tm", "Sc", "Sc", "Sc", "Sc"],
  "frac_coords": [[0.125, 0.125, 0.125], [0.875, 0.875, 0.875], [0.206, 0.544, 0.206], [0.456, 0.794, 0.456], [0.544, 0.206, 0.544], [0.794, 0.456, 0.794], [0.000, 0.000, 0.000], [0.000, 0.000, 0.500], [0.000, 0.500, 0.000], [0.500, 0.000, 0.000]],
  "e_form_mev_per_atom": 550
}


10.
{
  "formula": "PrTm3Sc2",
  "functional": "PBE",
  "state": "optimized geometry",
  "cell": [[7.112, -4.848, 0.000], [7.112, 4.848, 0.000], [0.000, 0.000, 5.448]],
  "species": ["Pr", "Pr", "Tm", "Tm", "Tm", "Tm", "Tm", "Tm", "Sc", "Sc", "Sc", "Sc"],
  "frac_coords": [[0.231, 0.769, 0.750], [0.769, 0.231, 0.250], [0.133, 0.390, 0.250], [0.390, 0.133, 0.750], [0.405, 0.595, 0.250], [0.595, 0.405, 0.750], [0.610, 0.867, 0.250], [0.867, 0.610, 0.750], [0.015, 0.201, 0.750], [0.201, 0.015, 0.250], [0.799, 0.985, 0.750], [0.985, 0.799, 0.250]],
  "e_form_mev_per_atom": 308
}


11.
{
  "formula": "Pr5Tm2Sc",
  "functional": "PBE",
  "state": "optimized geometry",
  "cell": [[3.593, 0.000, 0.000], [0.000, 11.219, 0.000], [0.000, 0.000, 13.266]],
  "species": ["Pr", "Pr", "Pr", "Pr", "Pr", "Pr", "Pr", "Pr", "Pr", "Pr", "Tm", "Tm", "Tm", "Tm", "Sc", "Sc"],
  "frac_coords": [[0.000, 0.000, 0.000], [0.000, 0.227, 0.370], [0.000, 0.227, 0.630], [0.000, 0.773, 0.370], [0.000, 0.773, 0.630], [0.500, 0.273, 0.130], [0.500, 0.273, 0.870], [0.500, 0.500, 0.500], [0.500, 0.727, 0.130], [0.500, 0.727, 0.870], [0.000, 0.500, 0.255], [0.000, 0.500, 0.745], [0.500, 0.000, 0.245], [0.500, 0.000, 0.755], [0.000, 0.500, 0.000], [0.500, 0.000, 0.500]],
  "e_form_mev_per_atom": 60
}


12.
{
  "formula": "Pr2Tm5Sc4",
  "functional": "PBE",
  "state": "optimized geometry",
  "cell": [[-1.687, 4.343, 11.238], [1.687, -4.343, 11.238], [1.687, 4.343, -11.238]],
  "species": ["Pr", "Pr", "Tm", "Tm", "Tm", "Tm", "Tm", "Sc", "Sc", "Sc", "Sc"],
  "frac_coords": [[0.233, 0.233, 0.000], [0.767, 0.767, 0.000], [0.168, 0.364, 0.804], [0.440, 0.636, 0.804], [0.500, 0.000, 0.500], [0.560, 0.364, 0.196], [0.832, 0.636, 0.196], [0.094, 0.094, 0.000], [0.178, 0.500, 0.678], [0.822, 0.500, 0.322], [0.906, 0.906, 0.000]],
  "e_form_mev_per_atom": 153
}


13.
{
  "formula": "Pr12Tm6Sc",
  "functional": "PBE",
  "state": "optimized geometry",
  "cell": [[6.084, 3.512, 5.090], [-6.084, 3.512, 5.090], [0.000, -7.025, 5.090]],
  "species": ["Pr", "Pr", "Pr", "Pr", "Pr", "Pr", "Pr", "Pr", "Pr", "Pr", "Pr", "Pr", "Tm", "Tm", "Tm", "Tm", "Tm", "Tm", "Sc"],
  "frac_coords": [[0.035, 0.935, 0.285], [0.065, 0.715, 0.965], [0.137, 0.480, 0.314], [0.285, 0.035, 0.935], [0.314, 0.137, 0.480], [0.480, 0.314, 0.137], [0.520, 0.686, 0.863], [0.686, 0.863, 0.520], [0.715, 0.965, 0.065], [0.863, 0.520, 0.686], [0.935, 0.285, 0.035], [0.965, 0.065, 0.715], [0.214, 0.758, 0.600], [0.242, 0.400, 0.786], [0.400, 0.786, 0.242], [0.600, 0.214, 0.758], [0.758, 0.600, 0.214], [0.786, 0.242, 0.400], [0.500, 0.500, 0.500]],
  "e_form_mev_per_atom": 130
}


14.
{
  "formula": "Pr8TmSc3",
  "functional": "PBE",
  "state": "optimized geometry",
  "cell": [[-3.427, 5.407, 5.796], [3.427, -5.407, 5.796], [3.427, 5.407, -5.796]],
  "species": ["Pr", "Pr", "Pr", "Pr", "Pr", "Pr", "Pr", "Pr", "Tm", "Sc", "Sc", "Sc"],
  "frac_coords": [[0.085, 0.249, 0.837], [0.213, 0.277, 0.490], [0.213, 0.723, 0.936], [0.412, 0.249, 0.163], [0.588, 0.751, 0.837], [0.787, 0.277, 0.064], [0.787, 0.723, 0.510], [0.915, 0.751, 0.163], [0.500, 0.500, 0.000], [0.000, 0.000, 0.000], [0.214, 0.714, 0.500], [0.786, 0.286, 0.500]],
  "e_form_mev_per_atom": 399
}


15.
{
  "formula": "Pr2Tm2Sc",
  "functional": "PBE",
  "state": "optimized geometry",
  "cell": [[6.184, 0.000, 0.000], [0.000, 5.647, 0.000], [-3.039, 0.000, 9.017]],
  "species": ["Pr", "Pr", "Pr", "Pr", "Tm", "Tm", "Tm", "Tm", "Sc", "Sc"],
  "frac_coords": [[0.064, 0.250, 0.287], [0.324, 0.750, 0.493], [0.676, 0.250, 0.507], [0.936, 0.750, 0.713], [0.277, 0.250, 0.714], [0.459, 0.250, 0.096], [0.541, 0.750, 0.904], [0.723, 0.750, 0.286], [0.130, 0.750, 0.091], [0.870, 0.250, 0.909]],
  "e_form_mev_per_atom": 42
}


16.
{
  "formula": "PrTmSc2",
  "functional": "PBE",
  "state": "optimized geometry",
  "cell": [[4.940, 0.000, 0.000], [0.000, 4.940, 0.000], [0.000, 0.000, 4.679]],
  "species": ["Pr", "Tm", "Sc", "Sc"],
  "frac_coords": [[0.000, 0.000, 0.000], [0.500, 0.500, 0.000], [0.000, 0.500, 0.500], [0.500, 0.000, 0.500]],
  "e_form_mev_per_atom": 61
}


17.
{
  "formula": "Pr2Tm5Sc12",
  "functional": "PBE",
  "state": "optimized geometry",
  "cell": [[7.539, -4.309, 0.000], [7.539, 4.309, 0.000], [-0.255, 0.000, 8.063]],
  "species": ["Pr", "Pr", "Tm", "Tm", "Tm", "Tm", "Tm", "Sc", "Sc", "Sc", "Sc", "Sc", "Sc", "Sc", "Sc", "Sc", "Sc", "Sc", "Sc"],
  "frac_coords": [[0.199, 0.801, 0.000], [0.801, 0.199, 0.000], [0.199, 0.199, 0.000], [0.262, 0.262, 0.418], [0.500, 0.500, 0.500], [0.738, 0.738, 0.582], [0.801, 0.801, 0.000], [0.052, 0.052, 0.330], [0.064, 0.683, 0.355], [0.162, 0.522, 0.748], [0.317, 0.936, 0.645], [0.403, 0.403, 0.119], [0.478, 0.838, 0.252], [0.522, 0.162, 0.748], [0.597, 0.597, 0.881], [0.683, 0.064, 0.355], [0.838, 0.478, 0.252], [0.936, 0.317, 0.645], [0.948, 0.948, 0.670]],
  "e_form_mev_per_atom": 143
}


18.
{
  "formula": "PrTm12Sc5",
  "functional": "PBE",
  "state": "optimized geometry",
  "cell": [[2.989, -5.178, 0.000], [2.989, 5.178, 0.000], [-1.992, 0.000, 16.690]],
  "species": ["Pr", "Tm", "Tm", "Tm", "Tm", "Tm", "Tm", "Tm", "Tm", "Tm", "Tm", "Tm", "Tm", "Sc", "Sc", "Sc", "Sc", "Sc"],
  "frac_coords": [[0.000, 0.000, 0.000], [0.056, 0.393, 0.167], [0.112, 0.112, 0.338], [0.221, 0.554, 0.662], [0.281, 0.281, 0.833], [0.393, 0.056, 0.167], [0.446, 0.779, 0.338], [0.554, 0.221, 0.662], [0.607, 0.944, 0.833], [0.719, 0.719, 0.167], [0.779, 0.446, 0.338], [0.888, 0.888, 0.662], [0.944, 0.607, 0.833], [0.166, 0.834, 0.500], [0.333, 0.667, 0.000], [0.500, 0.500, 0.500], [0.667, 0.333, 0.000], [0.834, 0.166, 0.500]],
  "e_form_mev_per_atom": 38
}


19.
{
  "formula": "PrTm5Sc5",
  "functional": "PBE",
  "state": "optimized geometry",
  "cell": [[5.778, 0.000, 0.000], [-2.889, 5.004, 0.000], [0.000, 0.000, 11.215]],
  "species": ["Pr", "Tm", "Tm", "Tm", "Tm", "Tm", "Sc", "Sc", "Sc", "Sc", "Sc"],
  "frac_coords": [[0.000, 0.000, 0.000], [0.000, 0.000, 0.326], [0.000, 0.000, 0.674], [0.333, 0.667, 0.164], [0.333, 0.667, 0.836], [0.667, 0.333, 0.000], [0.502, 0.004, 0.500], [0.502, 0.498, 0.500], [0.667, 0.333, 0.269], [0.667, 0.333, 0.731], [0.996, 0.498, 0.500]],
  "e_form_mev_per_atom": 243
}


20.
{
  "formula": "PrTm9Sc2",
  "functional": "PBE",
  "state": "optimized geometry",
  "cell": [[4.911, 0.000, 0.000], [0.000, 4.911, 0.000], [0.000, 0.000, 14.724]],
  "species": ["Pr", "Tm", "Tm", "Tm", "Tm", "Tm", "Tm", "Tm", "Tm", "Tm", "Sc", "Sc"],
  "frac_coords": [[0.000, 0.000, 0.000], [0.000, 0.500, 0.173], [0.000, 0.500, 0.500], [0.000, 0.500, 0.827], [0.500, 0.000, 0.173], [0.500, 0.000, 0.500], [0.500, 0.000, 0.827], [0.500, 0.500, 0.000], [0.500, 0.500, 0.338], [0.500, 0.500, 0.662], [0.000, 0.000, 0.336], [0.000, 0.000, 0.664]],
  "e_form_mev_per_atom": 43
}